This record from Alexandria via LeMat-Bulk describes crystalline NdIrRh at its relaxed geometry. The functional is PBE.

Cell lengths 5.400, 5.444, 7.705 Å; angles 90.00, 90.00, 90.00 degrees
Space group Imma (No. 74)
Asymmetric unit:
Nd: 0.000 0.250 0.123 (multiplicity 4)
Ir: 0.250 0.250 0.750 (multiplicity 4)
Rh: 0.000 0.000 0.500 (multiplicity 4)

Results
As for the density of states at the Fermi level: 9.59 states/eV per cell. The value obtained for the formation energy is -0.677 eV/atom. The spin magnetization comes out at 0.000 μB/cell. Its volume is 18.9 Å³/atom. The calculation puts the total energy at -7.67 eV per atom. The crystal system is orthorhombic.